{"formula": "BeCoIrO6", "functional": "GGA+U", "state": "optimized geometry", "final_energy_ev_per_cell": -111.6, "lattice": [[4.805, 0.000, 0.000], [-2.402, 4.161, 0.000], [0.000, 0.000, 8.503]], "species": ["Be", "Be", "Co", "Co", "Ir", "Ir", "O", "O", "O", "O", "O", "O", "O", "O", "O", "O", "O", "O"], "fractional_positions": [[0.333, 0.667, 0.250], [0.667, 0.333, 0.750], [0.000, 0.000, 0.000], [0.000, 0.000, 0.500], [0.333, 0.667, 0.750], [0.667, 0.333, 0.250], [0.015, 0.355, 0.131], [0.015, 0.660, 0.369], [0.340, 0.355, 0.369], [0.340, 0.985, 0.131], [0.355, 0.015, 0.631], [0.355, 0.340, 0.869], [0.645, 0.660, 0.131], [0.645, 0.985, 0.369], [0.660, 0.015, 0.869], [0.660, 0.645, 0.631], [0.985, 0.340, 0.631], [0.985, 0.645, 0.869]]}